Record 1
# MgPaInOs

MgPaInOs after structural relaxation (GGA-PBE, Alexandria).

Summary:
Electronic total energy = -6.170 eV/atom

Lattice parameters (Å, degrees): 4.901 4.901 4.901 60.00 60.00 60.00
Fractional positions:
Mg  0.500  0.500  0.500
Pa  0.000  0.000  0.000
Os  0.750  0.750  0.750
In  0.250  0.250  0.250



Record 2
# MgInOsPt2

MgInOsPt2 after structural relaxation (GGA-PBE, Alexandria).

Summary:
Electronic total energy = -4.197 eV/atom

Lattice parameters (Å, degrees): 4.913 4.934 4.913 90.00 90.00 90.00
Site moments in Bohr magnetons follow the coordinates.
Fractional positions:
Mg  0.500  0.500  0.500  -0.01
Os  0.000  0.500  0.000  1.00
Pt  0.000  0.000  0.500  0.04
Pt  0.500  0.000  0.000  -0.02
In  0.000  0.000  0.000  -0.02



Record 3
# RbMgIn2Os

RbMgIn2Os after structural relaxation (GGA-PBE, Alexandria).

Summary:
Electronic total energy = -3.789 eV/atom

Lattice parameters (Å, degrees): 5.269 5.269 5.216 90.00 90.00 90.00
Fractional positions:
Mg  0.000  0.000  0.500
Os  0.000  0.000  0.000
Rb  0.500  0.500  0.500
In  0.000  0.500  0.000
In  0.500  0.000  0.000



Record 4
# Mg2InOsSe

Mg2InOsSe after structural relaxation (GGA-PBE, Alexandria).

Summary:
ΔE_f (raw) = 0.52 eV/atom
Electronic total energy = -3.606 eV/atom

Lattice parameters (Å, degrees): 5.012 4.608 5.012 90.00 90.00 90.00
Fractional positions:
Mg  0.000  0.000  0.500
Mg  0.500  0.000  0.000
Os  0.000  0.500  0.000
Se  0.000  0.000  0.000
In  0.500  0.500  0.500



Record 5
# Th3Mg2In3Os

Th3Mg2In3Os after structural relaxation (GGA-PBE, Alexandria).

Summary:
Electronic total energy = -5.194 eV/atom

Lattice parameters (Å, degrees): 3.672 8.709 8.709 120.00 90.00 90.00
Fractional positions:
Th  0.500  0.747  0.000
Th  0.500  0.000  0.747
Th  0.500  0.253  0.253
Mg  0.500  0.667  0.333
Mg  0.500  0.333  0.667
In  0.000  0.603  0.603
In  0.000  0.000  0.397
In  0.000  0.397  0.000
Os  0.000  0.000  0.000



Record 6
# Mg2TlInOs

Mg2TlInOs after structural relaxation (GGA-PBE, Alexandria).

Summary:
Electronic total energy = -2.758 eV/atom

Lattice parameters (Å, degrees): 5.175 5.164 5.175 90.00 90.00 90.00
Site moments in Bohr magnetons follow the coordinates.
Fractional positions:
Tl  0.000  0.000  0.000  0.00
Os  0.000  0.500  0.000  1.36
Mg  0.000  0.000  0.500  0.00
Mg  0.500  0.000  0.000  0.00
In  0.500  0.500  0.500  0.01



- What is the electronic total energy in the third record?
  -3.789 eV/atom



Copy entry 5 word for word.
# Th3Mg2In3Os

Th3Mg2In3Os after structural relaxation (GGA-PBE, Alexandria).

Summary:
Electronic total energy = -5.194 eV/atom

Lattice parameters (Å, degrees): 3.672 8.709 8.709 120.00 90.00 90.00
Fractional positions:
Th  0.500  0.747  0.000
Th  0.500  0.000  0.747
Th  0.500  0.253  0.253
Mg  0.500  0.667  0.333
Mg  0.500  0.333  0.667
In  0.000  0.603  0.603
In  0.000  0.000  0.397
In  0.000  0.397  0.000
Os  0.000  0.000  0.000



- Which value of electronic total energy does entry 4 give?
  -3.606 eV/atom